# Ho2ThMoO8 | Alexandria | PBE+U | relaxed
data_Ho2ThMoO8
_chemical_formula_sum 'Ho4 Th2 Mo2 O16'
_cell_length_a 7.105
_cell_length_b 7.171
_cell_length_c 6.886
_cell_angle_alpha 90.00
_cell_angle_beta 90.00
_cell_angle_gamma 90.00
_space_group_name_H-M_alt 'C m m m'
_space_group_IT_number 65
_space_group_name_Hall '-C 2 2'
loop_
_atom_site_label
_atom_site_type_symbol
_atom_site_fract_x
_atom_site_fract_y
_atom_site_fract_z
Ho1 Ho 0.000 0.000 0.244
Th1 Th 0.000 0.500 0.500
Mo1 Mo 0.000 0.500 0.000
O1 O 0.000 0.316 0.212
O2 O 0.188 0.000 0.500
O3 O 0.226 0.000 0.000
# * magnetization: 0.000 μB per cell
# * E_tot: -197.52 eV/cell